(1)
## Ta2Be2Re (PBE-GGA)

Data for a relaxed structure of Ta2Be2Re.

```
data_Ta2Be2Re
_space_group_name_H-M_alt 'P 4/m b m'
_space_group_IT_number 127
_space_group_name_Hall '-P 4 2ab'
_cell_length_a 6.326
_cell_length_b 6.326
_cell_length_c 3.288
_cell_angle_alpha 90.00
_cell_angle_beta 90.00
_cell_angle_gamma 90.00
loop_
_atom_site_label
_atom_site_fract_x
_atom_site_fract_y
_atom_site_fract_z
Ta1 0.178 0.322 0.000
Be1 0.118 0.618 0.500
Re1 0.000 0.000 0.500
```



(2)
## YHoNi2Ge4 (PBE-GGA)

Data for a relaxed structure of YHoNi2Ge4.

```
data_YHoNi2Ge4
_space_group_name_H-M_alt 'A m m 2'
_space_group_IT_number 38
_space_group_name_Hall 'A 2 -2'
_cell_length_a 4.191
_cell_length_b 4.096
_cell_length_c 16.704
_cell_angle_alpha 90.00
_cell_angle_beta 90.00
_cell_angle_gamma 90.00
loop_
_atom_site_label
_atom_site_fract_x
_atom_site_fract_y
_atom_site_fract_z
Y1 0.000 0.000 0.000
Ho1 0.500 0.000 0.216
Ni1 0.000 0.000 0.786
Ni2 0.500 0.000 0.429
Ge1 0.000 0.000 0.359
Ge2 0.000 0.000 0.649
Ge3 0.500 0.000 0.567
Ge4 0.500 0.000 0.856
```



(3)
## SrCdP (PBE-GGA)

Data for a relaxed structure of SrCdP.

```
data_SrCdP
_space_group_name_H-M_alt 'I 4/m m m'
_space_group_IT_number 139
_space_group_name_Hall '-I 4 2'
_cell_length_a 4.044
_cell_length_b 4.044
_cell_length_c 21.921
_cell_angle_alpha 90.00
_cell_angle_beta 90.00
_cell_angle_gamma 90.00
loop_
_atom_site_label
_atom_site_fract_x
_atom_site_fract_y
_atom_site_fract_z
Sr1 0.000 0.000 0.198
Cd1 0.000 0.000 0.062
P1 0.000 0.000 0.349
```



(4)
# LiCoHgSb PBE-GGA relaxed
# Distance to the lowest polymorph of the same formula in meV per atom: 0
data_LiCoHgSb
_space_group_name_H-M_alt 'F -4 3 m'
_space_group_IT_number 216
_space_group_name_Hall 'F -4 2 3'
_cell_length_a 6.421
_cell_length_b 6.421
_cell_length_c 6.421
_cell_angle_alpha 90.00
_cell_angle_beta 90.00
_cell_angle_gamma 90.00
loop_
_atom_site_label
_atom_site_fract_x
_atom_site_fract_y
_atom_site_fract_z
Li1 0.000 0.000 0.000
Co1 0.000 0.000 0.500
Hg1 0.250 0.250 0.750
Sb1 0.250 0.250 0.250



(5)
# TeAsPtO PBE-GGA relaxed
# Distance to the lowest polymorph of the same formula in meV per atom: 87
data_TeAsPtO
_space_group_name_H-M_alt 'P m c 21'
_space_group_IT_number 26
_space_group_name_Hall 'P 2c -2'
_cell_length_a 4.130
_cell_length_b 6.421
_cell_length_c 5.745
_cell_angle_alpha 90.00
_cell_angle_beta 90.00
_cell_angle_gamma 90.00
loop_
_atom_site_label
_atom_site_fract_x
_atom_site_fract_y
_atom_site_fract_z
Te1 0.000 0.166 0.000
As1 0.000 0.278 0.528
Pt1 0.500 0.481 0.512
O1 0.500 0.145 0.994



(6)
## La2Sb4Ir3 (PBE-GGA)

Data for a relaxed structure of La2Sb4Ir3.

```
data_La2Sb4Ir3
_space_group_name_H-M_alt 'P n m a'
_space_group_IT_number 62
_space_group_name_Hall '-P 2ac 2n'
_cell_length_a 16.395
_cell_length_b 4.629
_cell_length_c 11.091
_cell_angle_alpha 90.00
_cell_angle_beta 90.00
_cell_angle_gamma 90.00
loop_
_atom_site_label
_atom_site_fract_x
_atom_site_fract_y
_atom_site_fract_z
La1 0.006 0.250 0.249
La2 0.249 0.750 0.588
Sb1 0.068 0.750 0.449
Sb2 0.105 0.750 0.061
Sb3 0.152 0.250 0.776
Sb4 0.209 0.250 0.385
Ir1 0.056 0.250 0.966
Ir2 0.092 0.250 0.557
Ir3 0.180 0.750 0.277
```



What total energy values result from the calculations? In sequence: -9.128 -5.782 -2.759 -3.367 -4.798 -6.646 eV per atom.